{"formula": "LaYBr6", "functional": "PBE", "state": "optimized geometry", "relative_energy_mev_per_atom": 13, "crystal_system": "trigonal", "sg": "R-3, No. 148", "n_ef_per_ev_fu": 0.0, "lattice": [[3.594, 2.075, 6.605], [-3.594, 2.075, 6.605], [0.000, -4.150, 6.605]], "species": ["La", "Y", "Br", "Br", "Br", "Br", "Br", "Br"], "fractional_positions": [[0.000, 0.000, 0.000], [0.500, 0.500, 0.500], [0.097, 0.741, 0.417], [0.259, 0.583, 0.903], [0.417, 0.097, 0.741], [0.583, 0.903, 0.259], [0.741, 0.417, 0.097], [0.903, 0.259, 0.583]]}